## Tb4PdRh2 (PBE)

Data for a relaxed Tb4PdRh2 crystal.

Values from the calculation:
The value obtained for the raw total energy is -43.5 eV per formula unit. The value obtained for the formation energy is -727 meV/atom. The calculation puts the size of the total moment at 0.00 μB per atom. As for the energy relative to the lowest polymorph listed for this composition: 39.4 meV per atom.

Cell and atoms, written as POSCAR:
```
Tb4PdRh2
1.0
-2.841 1.265 3.756
-3.928 -1.519 -2.459
0.755 -6.324 2.701
Tb Pd Rh
4 1 2
Cartesian
-1.232 -0.951 2.555
-1.398 -5.500 0.795
-0.855 -4.107 3.903
-1.775 -2.343 -0.553
-3.385 -0.127 0.648
0.000 0.000 0.000
-3.007 -3.289 1.999
```

***

## BaTe2BrN (PBE)

Data for a relaxed BaTe2BrN crystal.

Values from the calculation:
The value obtained for the raw total energy is -15.8 eV per formula unit. The calculation puts the size of the total moment at 0.03 μB per atom. As for the energy relative to the lowest polymorph listed for this composition: 0.0 meV per atom. The energy relative to the elements, uncorrected is 475.5 meV/atom.

Cell and atoms, written as POSCAR:
```
BaTe2BrN
1.0
6.235 0.000 0.000
0.000 6.235 0.000
0.000 0.000 3.831
Te Ba Br N
2 1 1 1
Cartesian
0.000 3.118 0.000
3.118 0.000 0.000
3.118 3.118 1.915
0.000 0.000 0.000
0.000 0.000 1.915
```

***

## Er3PI7 (PBE)

Data for a relaxed Er3PI7 crystal.

Values from the calculation:
The value obtained for the raw total energy is -43.1 eV per formula unit. The calculation puts the size of the total moment at 0.10 μB per atom. The energy relative to the elements, uncorrected is -1194.9 meV/atom.

Cell and atoms, written as POSCAR:
```
Er3PI7
1.0
-3.676 -4.608 4.689
6.832 -5.358 0.090
-0.575 6.400 5.839
Er P I
3 1 7
Cartesian
0.256 -2.963 6.608
-0.022 0.131 9.431
-3.046 -0.373 6.565
-0.355 -0.339 6.792
0.644 4.353 4.913
0.926 1.215 2.050
4.310 -1.505 2.074
3.555 -5.884 3.641
0.212 -3.262 3.597
3.274 -2.752 6.498
3.994 1.726 4.957
```

***

## Ac4Pt2SeCl (PBE)

Data for a relaxed Ac4Pt2SeCl crystal.

Values from the calculation:
The value obtained for the raw total energy is -45.0 eV per formula unit. The calculation puts the size of the total moment at 0.00 μB per atom. The energy relative to the elements, uncorrected is -1391.4 meV/atom.

Cell and atoms, written as POSCAR:
```
Ac4Pt2SeCl
1.0
6.221 0.339 0.000
-0.339 6.221 0.000
-2.941 -3.280 6.378
Ac Pt Se Cl
4 2 1 1
Cartesian
5.682 3.039 0.000
-0.537 2.698 6.378
-0.371 -0.413 3.142
2.571 2.867 3.236
-0.540 2.697 3.189
2.740 -0.244 3.189
5.515 6.150 0.000
2.571 2.868 0.000
```

***

## TlP2Rh (PBE)

Data for a relaxed TlP2Rh crystal.

Values from the calculation:
The value obtained for the raw total energy is -21.1 eV per formula unit. The value obtained for the formation energy is -149 meV/atom. The calculation puts the size of the total moment at 0.00 μB per atom. As for the energy relative to the lowest polymorph listed for this composition: 19.3 meV per atom.

Cell and atoms, written as POSCAR:
```
TlP2Rh
1.0
-3.386 -2.074 0.821
-0.291 -3.767 1.471
-0.814 0.928 6.291
P Rh Tl
2 1 1
Cartesian
-0.824 0.657 5.637
-2.234 -2.186 4.946
-3.368 -3.685 6.437
-1.123 -1.228 2.146
```

***

## CePaSeN2 (PBE)

Data for a relaxed CePaSeN2 crystal.

Values from the calculation:
The value obtained for the raw total energy is -44.3 eV per formula unit. The calculation puts the size of the total moment at 0.21 μB per atom. The energy relative to the elements, uncorrected is -1751.2 meV/atom.

Cell and atoms, written as POSCAR:
```
CePaSeN2
1.0
-3.543 1.587 0.405
-1.599 -3.142 -1.677
2.007 -1.893 6.177
Ce Pa Se N
1 1 1 2
Cartesian
-2.965 -2.644 3.239
-0.179 -0.847 1.759
-2.577 -0.803 -0.582
-2.046 -0.506 2.900
-1.074 -2.871 1.859
```

***

## Tb6PrTm2Mg (PBE)

Data for a relaxed Tb6PrTm2Mg crystal.

Values from the calculation:
The value obtained for the raw total energy is -41.9 eV per formula unit. The value obtained for the formation energy is 119 meV/atom. The calculation puts the size of the total moment at 0.00 μB per atom.

Cell and atoms, written as POSCAR:
```
Tb6PrTm2Mg
1.0
-7.891 0.931 3.620
2.291 -6.045 6.375
1.807 8.768 1.510
Tb Pr Tm Mg
12 2 4 2
Cartesian
1.271 6.317 2.120
-1.448 6.934 4.270
-5.064 -2.663 9.384
-2.345 -3.280 7.234
-1.465 4.123 2.076
1.411 5.358 5.551
-2.328 -0.469 9.428
-5.204 -1.704 5.953
1.851 -0.312 5.663
-1.567 -0.526 5.354
-5.644 3.967 5.841
-2.226 4.180 6.150
0.300 -5.229 7.088
-4.092 8.883 4.416
-0.450 1.637 7.600
0.652 0.029 2.594
-3.343 2.017 3.904
-4.445 3.625 8.910
0.049 2.427 4.574
-3.842 1.227 6.931
```

***

## Ca2InBi2 (PBE)

Data for a relaxed Ca2InBi2 crystal.

Values from the calculation:
The value obtained for the raw total energy is -17.3 eV per formula unit. The value obtained for the formation energy is -552 meV/atom. The calculation puts the size of the total moment at 0.00 μB per atom. As for the energy relative to the lowest polymorph listed for this composition: 0.0 meV per atom.

Cell and atoms, written as POSCAR:
```
Ca2InBi2
1.0
-0.305 -1.697 4.992
4.701 0.384 -2.376
1.165 12.534 4.333
Ca In Bi
4 2 4
Cartesian
3.732 7.217 2.682
1.481 0.256 2.971
1.829 4.004 4.267
4.081 10.965 3.978
0.291 3.133 1.083
0.874 9.400 3.250
2.238 8.397 5.786
0.000 0.000 0.000
0.583 6.267 2.167
3.324 2.824 1.163
```

***

## YMgIn2Fe (PBE)

Data for a relaxed YMgIn2Fe crystal.

Values from the calculation:
The value obtained for the raw total energy is -15.0 eV per formula unit. The value obtained for the formation energy is 1391 meV/atom. The calculation puts the size of the total moment at 0.64 μB per atom.

Cell and atoms, written as POSCAR:
```
YMgIn2Fe
1.0
5.782 0.000 0.000
0.000 5.830 0.000
0.000 0.000 5.782
Y Mg Fe In
1 1 1 2
Cartesian
0.000 0.000 0.000
0.000 2.915 0.000
2.891 2.915 2.891
0.000 0.000 2.891
2.891 0.000 0.000
```

***

## Sr2CuSi (PBE)

Data for a relaxed Sr2CuSi crystal.

Values from the calculation:
The value obtained for the raw total energy is -12.0 eV per formula unit. The calculation puts the size of the total moment at 0.00 μB per atom. The energy relative to the elements, uncorrected is 217.2 meV/atom.

Cell and atoms, written as POSCAR:
```
Sr2CuSi
1.0
-1.883 4.819 -0.560
-3.499 1.836 3.386
1.349 3.728 3.370
Cu Si Sr
1 1 2
Cartesian
-2.017 5.191 3.098
-3.025 7.787 4.648
0.000 0.000 0.000
-1.008 2.596 1.549
```

***

## PrEr2Tm9 (PBE)

Data for a relaxed PrEr2Tm9 crystal.

Values from the calculation:
The value obtained for the raw total energy is -52.6 eV per formula unit. The value obtained for the formation energy is 129 meV/atom. The calculation puts the size of the total moment at 0.00 μB per atom. As for the energy relative to the lowest polymorph listed for this composition: 88.9 meV per atom.

Cell and atoms, written as POSCAR:
```
PrEr2Tm9
1.0
5.804 0.000 0.000
0.000 5.804 0.000
0.000 0.000 11.028
Pr Er Tm
1 2 9
Cartesian
0.000 0.000 0.000
0.000 0.000 3.699
0.000 0.000 7.329
2.902 2.902 0.000
2.902 2.902 3.679
2.902 2.902 7.349
2.902 0.000 1.897
2.902 0.000 5.514
2.902 0.000 9.131
0.000 2.902 1.897
0.000 2.902 5.514
0.000 2.902 9.131
```

***

## Sr2AlSnPt6 (PBE)

Data for a relaxed Sr2AlSnPt6 crystal.

Values from the calculation:
The value obtained for the raw total energy is -54.5 eV per formula unit. The value obtained for the formation energy is -712 meV/atom. The calculation puts the size of the total moment at 0.00 μB per atom.

Cell and atoms, written as POSCAR:
```
Sr2AlSnPt6
1.0
6.892 -0.395 -1.199
-0.291 6.761 0.930
2.515 4.013 4.920
Sr Al Sn Pt
2 1 1 6
Cartesian
2.577 7.192 3.133
6.538 3.186 1.517
3.300 3.183 -0.135
0.000 0.000 0.000
4.162 9.038 5.270
4.288 5.395 0.696
3.029 3.666 2.327
4.954 1.340 -0.620
4.827 4.983 3.954
6.086 6.712 2.323
```

***

## Nd3Co7Ni2 (PBE)

Data for a relaxed Nd3Co7Ni2 crystal.

Values from the calculation:
The value obtained for the raw total energy is -76.7 eV per formula unit. The value obtained for the formation energy is -94 meV/atom. The calculation puts the size of the total moment at 0.68 μB per atom.

Cell and atoms, written as POSCAR:
```
Nd3Co7Ni2
1.0
-4.610 -1.695 -0.994
-0.637 -3.796 -3.209
-1.105 -7.306 4.949
Nd Co Ni
3 7 2
Cartesian
0.000 0.000 0.000
-4.978 -7.778 -1.550
-1.374 -5.019 2.297
-3.176 -6.399 0.373
-4.762 -4.904 -1.080
-2.792 -5.945 -2.178
-2.477 -4.064 -0.588
-1.590 -7.893 1.827
-3.875 -8.733 1.335
-3.559 -6.852 2.925
-4.603 -10.960 2.140
-1.748 -1.837 -1.393
```

***

## KAc2Pr3Te6 (PBE)

Data for a relaxed KAc2Pr3Te6 crystal.

Values from the calculation:
The value obtained for the raw total energy is -59.9 eV per formula unit. The calculation puts the size of the total moment at 0.00 μB per atom. The energy relative to the elements, uncorrected is -1449.2 meV/atom.

Cell and atoms, written as POSCAR:
```
KAc2Pr3Te6
1.0
4.603 0.000 0.000
0.000 9.421 0.256
-2.301 -2.799 9.802
K Ac Pr Te
1 2 3 6
Cartesian
2.301 0.000 0.000
2.301 4.402 6.697
0.000 2.221 3.360
2.301 4.711 0.128
2.301 -0.208 6.656
0.000 6.830 3.402
0.000 6.881 6.668
2.301 4.615 3.353
2.301 -0.259 3.390
2.301 -0.339 9.853
0.000 6.961 0.205
0.000 2.007 6.705
```

***

## AcLaH2 (PBE)

Data for a relaxed AcLaH2 crystal.

Values from the calculation:
The value obtained for the raw total energy is -16.8 eV per formula unit. The calculation puts the size of the total moment at 0.00 μB per atom. As for the energy relative to the lowest polymorph listed for this composition: 197.3 meV per atom.

Cell and atoms, written as POSCAR:
```
AcLaH2
1.0
3.793 0.000 0.000
1.897 3.285 0.000
1.897 1.095 6.538
Ac La H
1 1 2
Cartesian
3.793 2.190 3.444
5.690 3.285 6.518
1.897 1.095 5.121
1.897 1.095 1.262
```

***

## RbCaUF6 (PBE)

Data for a relaxed RbCaUF6 crystal.

Values from the calculation:
The value obtained for the raw total energy is -56.0 eV per formula unit. The calculation puts the size of the total moment at 0.33 μB per atom. The energy relative to the elements, uncorrected is -3389.6 meV/atom.

Cell and atoms, written as POSCAR:
```
RbCaUF6
1.0
6.378 0.000 0.000
-3.189 5.523 0.000
0.000 0.000 10.993
Rb Ca U F
2 2 2 12
Cartesian
0.000 0.000 0.000
0.000 0.000 5.496
0.000 3.682 2.748
3.189 1.841 8.245
3.189 1.841 2.748
0.000 3.682 8.245
1.948 3.426 1.580
-1.196 2.123 1.580
2.437 0.026 7.076
4.385 3.400 9.413
1.196 2.123 3.916
-1.948 3.426 3.916
3.941 0.026 9.413
0.752 5.497 3.916
5.137 2.097 7.076
-0.752 5.497 1.580
1.993 3.400 7.076
1.241 2.097 9.413
```

***

## NdHfPaO6 (PBE)

Data for a relaxed NdHfPaO6 crystal.

Values from the calculation:
The value obtained for the raw total energy is -85.5 eV per formula unit. The calculation puts the size of the total moment at 0.00 μB per atom. The energy relative to the elements, uncorrected is -3498.8 meV/atom.

Cell and atoms, written as POSCAR:
```
NdHfPaO6
1.0
-4.167 -3.003 -2.495
0.664 -0.202 5.668
-6.097 7.640 0.986
Nd Hf Pa O
2 2 2 12
Cartesian
0.000 0.000 0.000
-3.048 3.820 0.493
-4.081 -0.159 0.472
-5.519 4.595 3.687
-2.470 0.775 3.194
-7.129 3.661 0.966
-3.137 -1.025 2.136
-4.732 -1.976 -0.354
-4.691 3.636 5.361
-4.867 6.412 4.513
-3.472 1.606 1.431
-5.894 -0.337 1.516
-7.259 4.459 4.853
-4.909 0.800 -1.201
-3.706 4.772 2.643
-2.341 -0.024 -0.694
-6.127 2.829 2.728
-6.462 5.460 2.023
```

***

## Na2TiAgTe4 (PBE)

Data for a relaxed Na2TiAgTe4 crystal.

Values from the calculation:
The value obtained for the raw total energy is -30.1 eV per formula unit. The calculation puts the size of the total moment at 0.00 μB per atom. The energy relative to the elements, uncorrected is -518.8 meV/atom.

Cell and atoms, written as POSCAR:
```
Na2TiAgTe4
1.0
-1.396 5.397 -4.134
-6.360 1.719 -1.435
-0.790 6.199 2.533
Na Ti Ag Te
2 1 1 4
Cartesian
-3.575 3.959 0.549
-4.273 6.657 -1.518
-0.698 2.698 -2.067
0.000 0.000 0.000
-2.488 1.134 -0.912
-1.764 8.799 -2.160
-1.042 5.198 -1.280
-4.647 3.579 -2.816
```

***

## TiZnRe3 (PBE)

Data for a relaxed TiZnRe3 crystal.

Values from the calculation:
The value obtained for the raw total energy is -37.8 eV per formula unit. The value obtained for the formation energy is 1739 meV/atom. The calculation puts the size of the total moment at 0.00 μB per atom. As for the energy relative to the lowest polymorph listed for this composition: 0.0 meV per atom.

Cell and atoms, written as POSCAR:
```
TiZnRe3
1.0
-1.608 -1.571 3.866
1.410 -4.104 -1.081
3.928 0.831 1.971
Re Zn Ti
3 1 1
Cartesian
0.705 -2.052 -0.540
1.964 0.415 0.986
-0.804 -0.785 1.933
0.000 0.000 0.000
1.865 -2.422 2.379
```

***

## CaRe2Ni (PBE)

Data for a relaxed CaRe2Ni crystal.

Values from the calculation:
The value obtained for the raw total energy is -31.5 eV per formula unit. The value obtained for the formation energy is 303 meV/atom. The calculation puts the size of the total moment at 0.24 μB per atom. As for the energy relative to the lowest polymorph listed for this composition: 36.3 meV per atom.

Cell and atoms, written as POSCAR:
```
CaRe2Ni
1.0
-0.334 -1.898 2.439
0.156 -2.460 -1.893
7.181 -0.189 0.838
Re Ca Ni
2 1 1
Cartesian
0.007 0.000 0.001
1.261 -2.215 0.430
3.664 -0.096 0.427
5.661 -2.330 0.944
```